(1)
Here is an optimized crystal structure of CsTe3Pd3 from the Alexandria database. Energies are from PBE.

Lattice parameters (Å, degrees): 10.422 10.422 10.422 41.25 41.25 41.25
Fractional positions:
Cs (0.167, 0.167, 0.167)
Cs (0.833, 0.833, 0.833)
Te (0.074, 0.727, 0.397)
Te (0.273, 0.603, 0.926)
Te (0.397, 0.074, 0.727)
Te (0.603, 0.926, 0.273)
Te (0.727, 0.397, 0.074)
Te (0.926, 0.273, 0.603)
Pd (0.023, 0.365, 0.700)
Pd (0.300, 0.977, 0.635)
Pd (0.365, 0.700, 0.023)
Pd (0.635, 0.300, 0.977)
Pd (0.700, 0.023, 0.365)
Pd (0.977, 0.635, 0.300)

DOS at the Fermi energy (states/eV per cell): 8.64
E_form (uncorrected) (eV per atom): -0.434
Spin magnetization (μB per atom): 0.00
SG: R-3 (148)


(2)
Here is an optimized crystal structure of Cs3Te4Pd2 from the Alexandria database. Energies are from PBE.

Lattice parameters (Å, degrees): 7.299 7.299 12.251 93.81 93.81 33.44
Fractional positions:
Cs (0.000, 0.000, 0.000)
Cs (0.373, 0.373, 0.616)
Cs (0.627, 0.627, 0.384)
Te (0.102, 0.102, 0.653)
Te (0.243, 0.243, 0.878)
Te (0.757, 0.757, 0.122)
Te (0.898, 0.898, 0.347)
Pd (0.330, 0.330, 0.234)
Pd (0.670, 0.670, 0.766)

DOS at the Fermi energy (states/eV per cell): 3.08
E_form (uncorrected) (eV per atom): -0.700
Spin magnetization (μB per atom): 0.00
SG: C2/m (12)


(3)
Here is an optimized crystal structure of CsTiTePd2 from the Alexandria database. Energies are from PBE.

Lattice parameters (Å, degrees): 5.118 5.118 5.353 90.00 90.00 90.00
Fractional positions:
Cs (0.000, 0.000, 0.000)
Ti (0.500, 0.500, 0.500)
Te (0.500, 0.500, 0.000)
Pd (0.000, 0.500, 0.500)
Pd (0.500, 0.000, 0.500)

DOS at the Fermi energy (states/eV per cell): 2.95
E_form (uncorrected) (eV per atom): 0.034
Spin magnetization (μB per atom): 0.00
SG: P4/mmm (123)


(4)
Here is an optimized crystal structure of CsTlTe2Pd from the Alexandria database. Energies are from PBE.

Lattice parameters (Å, degrees): 5.584 5.584 5.518 90.00 90.00 90.00
Fractional positions:
Cs (0.000, 0.000, 0.000)
Tl (0.500, 0.500, 0.000)
Te (0.000, 0.500, 0.500)
Te (0.500, 0.000, 0.500)
Pd (0.500, 0.500, 0.500)

DOS at the Fermi energy (states/eV per cell): 3.25
E_form (uncorrected) (eV per atom): -0.382
Spin magnetization (μB per atom): 0.00
SG: P4/mmm (123)


(5)
Here is an optimized crystal structure of CsTl2TePd from the Alexandria database. Energies are from PBE.

Lattice parameters (Å, degrees): 5.505 5.505 5.750 90.00 90.00 90.00
Fractional positions:
Cs (0.000, 0.000, 0.000)
Tl (0.000, 0.500, 0.500)
Tl (0.500, 0.000, 0.500)
Te (0.500, 0.500, 0.000)
Pd (0.500, 0.500, 0.500)

DOS at the Fermi energy (states/eV per cell): 3.16
E_form (uncorrected) (eV per atom): -0.304
Spin magnetization (μB per atom): 0.00
SG: P4/mmm (123)


(6)
Here is an optimized crystal structure of CsUTe2Pd from the Alexandria database. Energies are from PBE.

Lattice parameters (Å, degrees): 10.031 10.031 5.526 90.00 90.00 142.16
Fractional positions:
Cs (0.250, 0.750, 0.750)
Cs (0.750, 0.250, 0.250)
U (0.250, 0.250, 0.000)
U (0.750, 0.750, 0.000)
Te (0.118, 0.882, 0.246)
Te (0.382, 0.618, 0.246)
Te (0.618, 0.382, 0.754)
Te (0.882, 0.118, 0.754)
Pd (0.000, 0.000, 0.500)
Pd (0.500, 0.500, 0.500)

DOS at the Fermi energy (states/eV per cell): 10.51
E_form (uncorrected) (eV per atom): -0.603
Spin magnetization (μB per atom): 0.60
SG: Cmme (67)


(7)
Here is an optimized crystal structure of CsUTe4Pd from the Alexandria database. Energies are from PBE.

Lattice parameters (Å, degrees): 7.627 6.240 10.647 90.00 107.15 90.00
Fractional positions:
Cs (0.216, 0.250, 0.051)
Cs (0.784, 0.750, 0.949)
U (0.274, 0.250, 0.552)
U (0.726, 0.750, 0.448)
Te (0.016, 0.504, 0.686)
Te (0.016, 0.996, 0.686)
Te (0.430, 0.750, 0.593)
Te (0.480, 0.750, 0.175)
Te (0.520, 0.250, 0.825)
Te (0.570, 0.250, 0.407)
Te (0.984, 0.004, 0.314)
Te (0.984, 0.496, 0.314)
Pd (0.273, 0.750, 0.337)
Pd (0.727, 0.250, 0.663)

DOS at the Fermi energy (states/eV per cell): 15.70
E_form (uncorrected) (eV per atom): -0.607
Spin magnetization (μB per atom): 0.17
SG: P2_1/m (11)


(8)
Here is an optimized crystal structure of Cs2UTe6Pd2 from the Alexandria database. Energies are from PBE.

Lattice parameters (Å, degrees): 8.016 8.016 9.914 125.64 125.64 60.93
Fractional positions:
Cs (0.230, 0.230, 0.183)
Cs (0.770, 0.770, 0.817)
U (0.000, 0.000, 0.500)
Te (0.174, 0.702, 0.651)
Te (0.281, 0.281, 0.821)
Te (0.298, 0.826, 0.349)
Te (0.702, 0.174, 0.651)
Te (0.719, 0.719, 0.179)
Te (0.826, 0.298, 0.349)
Pd (0.488, 0.488, 0.843)
Pd (0.512, 0.512, 0.157)

DOS at the Fermi energy (states/eV per cell): 9.19
E_form (uncorrected) (eV per atom): -0.509
Spin magnetization (μB per atom): 0.00
SG: C2/m (12)


(9)
Here is an optimized crystal structure of Cs2UTe4Pd2 from the Alexandria database. Energies are from PBE.

Lattice parameters (Å, degrees): 8.252 8.252 9.075 106.34 106.34 30.87
Fractional positions:
Cs (0.137, 0.137, 0.070)
Cs (0.863, 0.863, 0.930)
U (0.000, 0.000, 0.500)
Te (0.193, 0.193, 0.663)
Te (0.487, 0.487, 0.727)
Te (0.513, 0.513, 0.273)
Te (0.807, 0.807, 0.337)
Pd (0.323, 0.323, 0.515)
Pd (0.677, 0.677, 0.485)

DOS at the Fermi energy (states/eV per cell): 6.95
E_form (uncorrected) (eV per atom): -0.748
Spin magnetization (μB per atom): 0.13
SG: C2/m (12)


(10)
Here is an optimized crystal structure of CsUTe4Pd2 from the Alexandria database. Energies are from PBE.

Lattice parameters (Å, degrees): 9.955 9.955 9.955 156.64 127.47 58.23
Fractional positions:
Cs (0.000, 0.000, 0.000)
U (0.500, 0.500, 0.000)
Te (0.151, 0.363, 0.788)
Te (0.425, 0.637, 0.788)
Te (0.575, 0.363, 0.212)
Te (0.849, 0.637, 0.212)
Pd (0.373, 0.873, 0.500)
Pd (0.627, 0.127, 0.500)

DOS at the Fermi energy (states/eV per cell): 9.10
E_form (uncorrected) (eV per atom): -0.464
Spin magnetization (μB per atom): 0.30
SG: Immm (71)


(11)
Here is an optimized crystal structure of CsZnTe2Pd from the Alexandria database. Energies are from PBE.

Lattice parameters (Å, degrees): 8.608 4.344 8.318 90.00 90.01 90.00
Fractional positions:
Cs (0.000, 0.000, 0.250)
Cs (0.000, 0.000, 0.750)
Zn (0.500, 0.000, 0.000)
Zn (0.500, 0.000, 0.500)
Te (0.290, 0.448, 0.000)
Te (0.290, 0.552, 0.500)
Te (0.710, 0.448, 0.500)
Te (0.710, 0.552, 0.000)
Pd (0.500, 0.495, 0.750)
Pd (0.500, 0.505, 0.250)

DOS at the Fermi energy (states/eV per cell): 7.26
E_form (uncorrected) (eV per atom): -0.477
Spin magnetization (μB per atom): 0.00
SG: P2/c (13)


(12)
Here is an optimized crystal structure of CsZrTe4Pd from the Alexandria database. Energies are from PBE.

Lattice parameters (Å, degrees): 7.252 6.331 10.743 90.00 108.58 90.00
Fractional positions:
Cs (0.148, 0.250, 0.449)
Cs (0.852, 0.750, 0.551)
Zr (0.291, 0.750, 0.063)
Zr (0.709, 0.250, 0.937)
Te (0.143, 0.250, 0.078)
Te (0.320, 0.750, 0.340)
Te (0.337, 0.503, 0.828)
Te (0.337, 0.997, 0.828)
Te (0.663, 0.003, 0.172)
Te (0.663, 0.497, 0.172)
Te (0.680, 0.250, 0.660)
Te (0.857, 0.750, 0.922)
Pd (0.040, 0.250, 0.817)
Pd (0.960, 0.750, 0.183)

DOS at the Fermi energy (states/eV per cell): 9.25
E_form (uncorrected) (eV per atom): -0.634
Spin magnetization (μB per atom): 0.00
SG: P2_1/m (11)


(13)
Here is an optimized crystal structure of CsZrTe3Pd from the Alexandria database. Energies are from PBE.

Lattice parameters (Å, degrees): 10.082 4.122 11.045 90.00 116.87 90.00
Fractional positions:
Cs (0.014, 0.250, 0.259)
Cs (0.986, 0.750, 0.741)
Zr (0.465, 0.250, 0.171)
Zr (0.535, 0.750, 0.829)
Te (0.247, 0.750, 0.135)
Te (0.329, 0.750, 0.545)
Te (0.342, 0.250, 0.864)
Te (0.658, 0.750, 0.136)
Te (0.671, 0.250, 0.455)
Te (0.753, 0.250, 0.865)
Pd (0.479, 0.750, 0.390)
Pd (0.521, 0.250, 0.610)

DOS at the Fermi energy (states/eV per cell): 4.26
E_form (uncorrected) (eV per atom): -0.864
Spin magnetization (μB per atom): 0.00
SG: P2_1/m (11)


(14)
Here is an optimized crystal structure of Cs2ZrTe4Pd2 from the Alexandria database. Energies are from PBE.

Lattice parameters (Å, degrees): 7.981 7.981 9.174 104.52 104.52 30.80
Fractional positions:
Cs (0.138, 0.138, 0.070)
Cs (0.862, 0.862, 0.930)
Zr (0.000, 0.000, 0.500)
Te (0.195, 0.195, 0.660)
Te (0.495, 0.495, 0.728)
Te (0.505, 0.505, 0.272)
Te (0.805, 0.805, 0.340)
Pd (0.336, 0.336, 0.524)
Pd (0.664, 0.664, 0.476)

DOS at the Fermi energy (states/eV per cell): 4.15
E_form (uncorrected) (eV per atom): -0.770
Spin magnetization (μB per atom): 0.00
SG: C2/m (12)


(15)
Here is an optimized crystal structure of CsTi3Pd from the Alexandria database. Energies are from PBE.

Lattice parameters (Å, degrees): 5.017 5.017 5.017 90.00 90.00 90.00
Fractional positions:
Cs (0.000, 0.000, 0.000)
Ti (0.000, 0.500, 0.500)
Ti (0.500, 0.000, 0.500)
Ti (0.500, 0.500, 0.000)
Pd (0.500, 0.500, 0.500)

DOS at the Fermi energy (states/eV per cell): 11.53
Energy of formation (eV per atom): 0.875
Spin magnetization (μB per atom): 0.00
Excess energy over the best structure of this formula in the dataset (meV/atom): 0.0
SG: Pm-3m (221)


(16)
Here is an optimized crystal structure of CsTiPd3 from the Alexandria database. Energies are from PBE.

Lattice parameters (Å, degrees): 5.173 5.173 5.173 90.00 90.00 90.00
Fractional positions:
Cs (0.000, 0.000, 0.000)
Ti (0.500, 0.500, 0.500)
Pd (0.000, 0.000, 0.500)
Pd (0.000, 0.500, 0.000)
Pd (0.500, 0.000, 0.000)

DOS at the Fermi energy (states/eV per cell): 19.31
Energy of formation (eV per atom): 1.753
Spin magnetization (μB per atom): 0.00
Excess energy over the best structure of this formula in the dataset (meV/atom): 1399.2
SG: Pm-3m (221)


(17)
Here is an optimized crystal structure of Cs2TiPd from the Alexandria database. Energies are from PBE.

Lattice parameters (Å, degrees): 6.125 6.125 6.125 60.00 60.00 60.00
Fractional positions:
Cs (0.250, 0.250, 0.250)
Cs (0.750, 0.750, 0.750)
Ti (0.000, 0.000, 0.000)
Pd (0.500, 0.500, 0.500)

DOS at the Fermi energy (states/eV per cell): 11.02
Energy of formation (eV per atom): 1.122
Spin magnetization (μB per atom): 0.89
SG: Fm-3m (225)


(18)
Here is an optimized crystal structure of Cs3TiPd from the Alexandria database. Energies are from PBE.

Lattice parameters (Å, degrees): 6.709 6.709 6.709 90.00 90.00 90.00
Fractional positions:
Cs (0.000, 0.000, 0.500)
Cs (0.000, 0.500, 0.000)
Cs (0.500, 0.000, 0.000)
Ti (0.500, 0.500, 0.500)
Pd (0.000, 0.000, 0.000)

DOS at the Fermi energy (states/eV per cell): 8.28
Energy of formation (eV per atom): 0.829
Spin magnetization (μB per atom): 0.60
SG: Pm-3m (221)


(19)
Here is an optimized crystal structure of CsTi3Pd from the Alexandria database. Energies are from PBE.

Lattice parameters (Å, degrees): 4.902 4.902 4.902 90.00 90.00 90.00
Fractional positions:
Cs (0.000, 0.000, 0.000)
Ti (0.000, 0.000, 0.500)
Ti (0.000, 0.500, 0.000)
Ti (0.500, 0.000, 0.000)
Pd (0.500, 0.500, 0.500)

DOS at the Fermi energy (states/eV per cell): 7.45
Energy of formation (eV per atom): 2.021
Spin magnetization (μB per atom): 0.46
Excess energy over the best structure of this formula in the dataset (meV/atom): 1145.8
SG: Pm-3m (221)


(20)
Here is an optimized crystal structure of CsTi2Pd from the Alexandria database. Energies are from PBE.

Lattice parameters (Å, degrees): 4.819 4.819 4.819 60.00 60.00 60.00
Fractional positions:
Cs (0.000, 0.000, 0.000)
Ti (0.250, 0.250, 0.250)
Ti (0.750, 0.750, 0.750)
Pd (0.500, 0.500, 0.500)

DOS at the Fermi energy (states/eV per cell): 7.40
Energy of formation (eV per atom): 0.902
Spin magnetization (μB per atom): 0.00
SG: Fm-3m (225)


(21)
Here is an optimized crystal structure of CsTiPd3 from the Alexandria database. Energies are from PBE.

Lattice parameters (Å, degrees): 4.971 4.971 4.971 90.00 90.00 90.00
Fractional positions:
Cs (0.000, 0.000, 0.000)
Ti (0.500, 0.500, 0.500)
Pd (0.000, 0.500, 0.500)
Pd (0.500, 0.000, 0.500)
Pd (0.500, 0.500, 0.000)

DOS at the Fermi energy (states/eV per cell): 5.49
Energy of formation (eV per atom): 0.353
Spin magnetization (μB per atom): 0.13
Excess energy over the best structure of this formula in the dataset (meV/atom): 0.0
SG: Pm-3m (221)


(22)
Here is an optimized crystal structure of Cs3Tl4Pd from the Alexandria database. Energies are from PBE.

Lattice parameters (Å, degrees): 7.867 7.867 7.867 127.10 116.78 86.92
Fractional positions:
Cs (0.000, 0.000, 0.000)
Cs (0.401, 0.644, 0.757)
Cs (0.888, 0.644, 0.243)
Tl (0.001, 0.307, 0.694)
Tl (0.402, 0.137, 0.735)
Tl (0.402, 0.667, 0.265)
Tl (0.613, 0.307, 0.306)
Pd (0.604, 0.104, 0.500)

DOS at the Fermi energy (states/eV per cell): 5.80
Energy of formation (eV per atom): -0.075
Spin magnetization (μB per atom): 0.00
Excess energy over the best structure of this formula in the dataset (meV/atom): 8.4
SG: Imm2 (44)


(23)
Here is an optimized crystal structure of CsTl2Pd from the Alexandria database. Energies are from PBE.

Lattice parameters (Å, degrees): 3.618 3.618 9.067 90.00 90.00 90.00
Fractional positions:
Cs (0.000, 0.000, 0.000)
Tl (0.500, 0.500, 0.325)
Tl (0.500, 0.500, 0.675)
Pd (0.000, 0.000, 0.500)

DOS at the Fermi energy (states/eV per cell): 1.97
Energy of formation (eV per atom): -0.091
Spin magnetization (μB per atom): 0.00
SG: P4/mmm (123)


(24)
Here is an optimized crystal structure of Cs8Tl2Pd from the Alexandria database. Energies are from PBE.

Lattice parameters (Å, degrees): 12.410 12.410 7.444 92.89 92.89 53.40
Fractional positions:
Cs (0.116, 0.703, 0.787)
Cs (0.218, 0.218, 0.751)
Cs (0.297, 0.884, 0.213)
Cs (0.392, 0.392, 0.283)
Cs (0.608, 0.608, 0.717)
Cs (0.703, 0.116, 0.787)
Cs (0.782, 0.782, 0.249)
Cs (0.884, 0.297, 0.213)
Tl (0.045, 0.045, 0.666)
Tl (0.955, 0.955, 0.334)
Pd (0.000, 0.000, 0.000)

DOS at the Fermi energy (states/eV per cell): 9.95
Energy of formation (eV per atom): -0.018
Spin magnetization (μB per atom): 0.00
SG: C2/m (12)


(25)
Here is an optimized crystal structure of CsTlPd2 from the Alexandria database. Energies are from PBE.

Lattice parameters (Å, degrees): 9.993 9.993 9.993 147.99 147.99 45.90
Fractional positions:
Cs (0.375, 0.625, 0.750)
Cs (0.625, 0.375, 0.250)
Tl (0.125, 0.875, 0.250)
Tl (0.875, 0.125, 0.750)
Pd (0.000, 0.000, 0.000)
Pd (0.000, 0.000, 0.500)
Pd (0.000, 0.500, 0.000)
Pd (0.500, 0.000, 0.500)

DOS at the Fermi energy (states/eV per cell): 1.81
Energy of formation (eV per atom): 0.023
Spin magnetization (μB per atom): 0.00
Excess energy over the best structure of this formula in the dataset (meV/atom): 203.0
SG: I4_1/amd (141)